The following is a DFT calculation (PBE) of a relaxed Pm4Pr8Th crystal.

Calculated values
ΔH_f (0 K): 39 kJ per mole of atoms
energy: -0.1681 Ha/atom

Lattice parameters (Å, degrees): 11.9310 11.9310 11.8637 90.00 90.00 120.00
Space group R-3m (No. 166, hexagonal axes)
Asymmetric unit:
Pm: 0.0000 0.0000 0.0000
Pm: 0.0000 0.5000 0.0000
Pr: 0.0000 0.0000 0.2403
Pr: 0.0004 0.5002 0.3302
Th: 0.0000 0.0000 0.5000

The following is a DFT calculation (PBE) of a relaxed Pm7Pr12Th crystal.

Calculated values
ΔH_f (0 K): 8 kJ per mole of atoms
E above lowest polymorph: 0.000 eV per atom
energy: -0.1770 Ha/atom

Lattice parameters (Å, degrees): 13.8103 13.8103 12.8372 90.00 90.00 120.00
Space group R-3m (No. 166, hexagonal axes)
Asymmetric unit:
Pm: 0.0000 0.0000 0.0000
Pm: 0.0869 0.1738 0.2668
Pr: 0.0000 0.2580 0.5000
Pr: 0.0464 0.5232 0.6144
Th: 0.0000 0.0000 0.5000

Q: The lowest ΔH_f (0 K) belongs to which entry?
A: Pm7Pr12Th